DFT (PBE) results for crystalline Lu3Re2Mo3N12 at its relaxed geometry.

Results
VASP energy = -9.13 eV per atom
crystal system = cubic

Cell: 12.537 12.537 12.537 Å, 90.00 90.00 90.00°
Space group Ia-3d (No. 230)
Unique sites:
Lu 0.000 0.250 0.125 [24 per cell]
Re 0.000 0.000 0.000 [16 per cell]
Mo 0.000 0.250 0.375 [24 per cell]
N 0.030 0.055 0.649 [96 per cell]

DFT (PBE) results for crystalline NaLiTcIr at its relaxed geometry.

Results
VASP energy = -5.28 eV per atom
energy above the most stable polymorph in this dataset = 0.000 eV/atom
crystal system = cubic

Cell: 6.139 6.139 6.139 Å, 90.00 90.00 90.00°
Space group F-43m (No. 216)
Unique sites:
Na 0.000 0.000 0.000 [4 per cell]
Li 0.250 0.250 0.750 [4 per cell]
Tc 0.250 0.250 0.250 [4 per cell]
Ir 0.000 0.000 0.500 [4 per cell]

DFT (PBE) results for crystalline SrZnSO at its relaxed geometry.

Results
VASP energy = -4.50 eV per atom
crystal system = tetragonal

Cell: 4.531 4.531 7.541 Å, 90.00 90.00 90.00°
Space group P4/nmm (No. 129, origin choice 2)
Unique sites:
Sr 0.250 0.250 0.177 [2 per cell]
Zn 0.250 0.250 0.626 [2 per cell]
S 0.250 0.750 0.500 [2 per cell]
O 0.250 0.250 0.877 [2 per cell]